{"formula": "SrLa2Br", "functional": "PBE", "state": "relaxed", "volume_a3_per_cell": 150, "formation_energy_uncorrected_ev_per_atom": -0.45, "dos_at_fermi_per_ev_cell": 5.21, "density_g_cm3": 4.9, "e_above_lowest_polymorph_mev_per_atom": 183, "lattice": [[-0.168, 3.697, -0.906], [-2.074, -2.365, -2.148], [-8.970, 1.351, 7.175]], "species": ["Sr", "Br", "La", "La"], "frac_coords": [[0.500, 0.500, 0.250], [0.500, 0.500, 0.750], [0.000, 0.000, 0.964], [0.000, 0.000, 0.536]]}

{"formula": "SrLa2Br", "functional": "PBE", "state": "relaxed", "volume_a3_per_cell": 147, "formation_energy_uncorrected_ev_per_atom": -0.63, "dos_at_fermi_per_ev_cell": 4.70, "density_g_cm3": 5.0, "e_above_lowest_polymorph_mev_per_atom": 0, "lattice": [[-9.891, 4.292, -3.013], [-11.091, 1.365, -0.666], [-10.058, 4.835, 0.885]], "species": ["Sr", "Br", "La", "La"], "frac_coords": [[0.488, 0.488, 0.488], [0.748, 0.748, 0.748], [0.010, 0.010, 0.010], [0.253, 0.253, 0.253]]}

{"formula": "SrLaBr", "functional": "PBE", "state": "relaxed", "volume_a3_per_cell": 111, "formation_energy_uncorrected_ev_per_atom": -0.85, "dos_at_fermi_per_ev_cell": 1.28, "density_g_cm3": 4.6, "e_above_lowest_polymorph_mev_per_atom": 0, "lattice": [[4.038, 0.000, 0.000], [-2.019, 3.497, 0.000], [0.000, 0.000, 7.841]], "species": ["Sr", "Br", "La"], "frac_coords": [[0.333, 0.667, 0.700], [0.000, 0.000, 0.004], [0.667, 0.333, 0.295]]}

{"formula": "SrLa2Br", "functional": "PBE", "state": "relaxed", "volume_a3_per_cell": 147, "formation_energy_uncorrected_ev_per_atom": -0.56, "dos_at_fermi_per_ev_cell": 4.60, "density_g_cm3": 5.0, "e_above_lowest_polymorph_mev_per_atom": 70, "lattice": [[3.812, 0.014, 0.000], [-1.040, 3.668, 0.000], [0.000, 0.000, 10.523]], "species": ["Sr", "Br", "La", "La"], "frac_coords": [[0.000, 0.000, 0.533], [0.500, 0.500, 0.753], [0.000, 0.000, 0.984], [0.500, 0.500, 0.231]]}

{"formula": "SrLa2Br", "functional": "PBE", "state": "relaxed", "volume_a3_per_cell": 152, "formation_energy_uncorrected_ev_per_atom": -0.39, "dos_at_fermi_per_ev_cell": 4.21, "density_g_cm3": 4.9, "e_above_lowest_polymorph_mev_per_atom": 240, "lattice": [[7.150, -0.004, -0.005], [3.061, 6.462, 0.005], [-4.051, -4.897, 3.277]], "species": ["Sr", "Br", "La", "La"], "frac_coords": [[0.461, 0.461, 0.000], [0.243, 0.743, 0.500], [0.031, 0.031, 0.000], [0.765, 0.265, 0.500]]}

{"formula": "SrLaBr2", "functional": "PBE", "state": "relaxed", "volume_a3_per_cell": 138, "formation_energy_uncorrected_ev_per_atom": -0.48, "dos_at_fermi_per_ev_cell": 6.67, "density_g_cm3": 4.6, "e_above_lowest_polymorph_mev_per_atom": 849, "lattice": [[5.801, 0.000, 0.000], [2.900, 5.024, 0.000], [2.900, 1.675, 4.736]], "species": ["Sr", "Br", "Br", "La"], "frac_coords": [[0.750, 0.750, 0.750], [0.000, 0.000, 0.000], [0.250, 0.250, 0.250], [0.500, 0.500, 0.500]]}

{"formula": "SrLa2Br", "functional": "PBE", "state": "relaxed", "volume_a3_per_cell": 146, "formation_energy_uncorrected_ev_per_atom": -0.39, "dos_at_fermi_per_ev_cell": 7.30, "density_g_cm3": 5.1, "e_above_lowest_polymorph_mev_per_atom": 240, "lattice": [[-0.402, -2.555, 2.684], [3.465, -1.217, -0.639], [3.709, 6.845, 7.073]], "species": ["Sr", "Br", "La", "La"], "frac_coords": [[0.500, 0.500, 0.250], [0.500, 0.500, 0.750], [0.000, 0.000, 0.941], [0.000, 0.000, 0.559]]}

{"formula": "SrLaBr2", "functional": "PBE", "state": "relaxed", "volume_a3_per_cell": 113, "formation_energy_uncorrected_ev_per_atom": -1.05, "dos_at_fermi_per_ev_cell": 3.24, "density_g_cm3": 5.7, "e_above_lowest_polymorph_mev_per_atom": 276, "lattice": [[0.000, 3.841, 3.841], [3.841, 0.000, 3.841], [3.841, 3.841, 0.000]], "species": ["Sr", "Br", "Br", "La"], "frac_coords": [[0.000, 0.000, 0.000], [0.250, 0.250, 0.250], [0.750, 0.750, 0.750], [0.500, 0.500, 0.500]]}

Please write out number 1 again, unchanged.
{"formula": "SrLa2Br", "functional": "PBE", "state": "relaxed", "volume_a3_per_cell": 150, "formation_energy_uncorrected_ev_per_atom": -0.45, "dos_at_fermi_per_ev_cell": 5.21, "density_g_cm3": 4.9, "e_above_lowest_polymorph_mev_per_atom": 183, "lattice": [[-0.168, 3.697, -0.906], [-2.074, -2.365, -2.148], [-8.970, 1.351, 7.175]], "species": ["Sr", "Br", "La", "La"], "frac_coords": [[0.500, 0.500, 0.250], [0.500, 0.500, 0.750], [0.000, 0.000, 0.964], [0.000, 0.000, 0.536]]}